Material: YMg2Sc
Method: DFT, GGA-PBE
State: relaxed

Structure (POSCAR):
```
YMg2Sc
1.0
8.366 0.000 0.000
0.000 8.366 0.000
0.000 0.000 6.104
Y Mg Sc
4 8 4
Direct
0.000 0.000 0.000
0.000 0.500 0.250
0.500 0.000 0.750
0.500 0.500 0.500
0.235 0.250 0.625
0.250 0.735 0.875
0.250 0.765 0.375
0.265 0.250 0.125
0.735 0.750 0.125
0.750 0.235 0.375
0.750 0.265 0.875
0.765 0.750 0.625
0.000 0.000 0.500
0.000 0.500 0.750
0.500 0.000 0.250
0.500 0.500 0.000
```

Raw total energy (eV/atom): -3.67
SG: I-42d, No. 122
Size of the total moment (μB per formula unit): 0.69
Calculated volume (Å³ per cell): 427.2
Energy relative to the elements (eV per formula unit): 1.29

***

Material: AcHo3Tm
Method: DFT, GGA-PBE
State: relaxed

Structure (POSCAR):
```
AcHo3Tm
1.0
9.102 -2.428 0.000
9.102 2.428 0.000
-3.215 0.000 7.935
Ac Ho Tm
2 6 2
Direct
0.115 0.115 0.148
0.885 0.885 0.852
0.057 0.057 0.698
0.227 0.227 0.628
0.415 0.415 0.553
0.585 0.585 0.447
0.773 0.773 0.372
0.943 0.943 0.302
0.312 0.312 0.112
0.688 0.688 0.888
```

Raw total energy (eV/atom): -4.30
SG: C2/m, No. 12
Size of the total moment (μB per formula unit): 0.00
Calculated volume (Å³ per cell): 350.7
Energy relative to the elements (eV per formula unit): 0.81

***

Material: Li2ZnNiTe
Method: DFT, GGA-PBE
State: relaxed

Structure (POSCAR):
```
Li2ZnNiTe
1.0
4.613 0.000 0.000
0.000 4.613 0.000
0.000 0.000 4.464
Li Zn Ni Te
2 1 1 1
Direct
0.000 0.500 0.000
0.500 0.000 0.000
0.000 0.000 0.000
0.000 0.000 0.500
0.500 0.500 0.500
```

Raw total energy (eV/atom): -2.75
SG: P4/mmm, No. 123
Size of the total moment (μB per formula unit): 0.00
Calculated volume (Å³ per cell): 95.0
Energy relative to the elements, uncorrected (eV/f.u.): 0.25

***

Material: AlTe2Ir
Method: DFT, GGA-PBE
State: relaxed

Structure (POSCAR):
```
AlTe2Ir
1.0
4.854 0.000 0.000
0.000 3.964 0.000
-0.317 0.000 6.078
Al Te Ir
1 2 1
Direct
0.000 0.000 0.000
0.331 0.500 0.734
0.669 0.500 0.266
0.500 0.000 0.000
```

Raw total energy (eV/atom): -4.89
SG: P2/m, No. 10
Size of the total moment (μB per formula unit): 0.00
Calculated volume (Å³ per cell): 116.9
Energy relative to the elements, uncorrected (eV/f.u.): -0.66

***

Material: BeAsOs4
Method: DFT, GGA-PBE
State: relaxed

Structure (POSCAR):
```
BeAsOs4
1.0
0.000 3.646 3.646
3.646 0.000 3.646
3.646 3.646 0.000
Be As Os
1 1 4
Direct
0.000 0.000 0.000
0.250 0.250 0.250
0.125 0.625 0.625
0.625 0.125 0.625
0.625 0.625 0.125
0.625 0.625 0.625
```

Raw total energy (eV/atom): -7.87
SG: F-43m, No. 216
Size of the total moment (μB per formula unit): 0.00
Calculated volume (Å³ per cell): 96.9
Energy relative to the elements (eV per formula unit): 6.07